Run i
DFT (PBE) results for crystalline NaSbTe2Au at its relaxed geometry.

Cell: 5.420 5.420 5.385 Å, 90.00 90.00 90.00°
Fractional positions:
Te  0.500  0.000  0.000
Te  0.000  0.500  0.000
Sb  0.000  0.000  0.500
Na  0.000  0.000  0.000
Au  0.500  0.500  0.500

Summary:
Space group = No. 123


Run ii
DFT (PBE) results for crystalline NaSbTe2Au at its relaxed geometry.

Cell: 5.706 5.706 5.250 Å, 90.00 90.00 90.00°
Fractional positions:
Te  0.500  0.000  0.000
Te  0.000  0.500  0.000
Sb  0.000  0.000  0.500
Au  0.000  0.000  0.000
Na  0.500  0.500  0.500

Summary:
Space group = No. 123


Which is more stable than every other structure shown? run ii is more stable than every other one.